Entry 1:
## ZrFe2GeCl (SCAN)

Data for ZrFe2GeCl at its PBEsol-relaxed geometry.

Cell: 4.736 4.713 4.713 Å, 90.00 90.00 90.00°
Last column: magnetic moment on the atom in μB.
Atoms (fractional coordinates):
Ge  0.500  0.500  0.500  -0.12
Fe  0.000  0.000  0.500  2.72
Fe  0.000  0.500  0.000  2.72
Zr  0.000  0.000  0.000  -0.64
Cl  0.500  0.000  0.000  0.00

Summary:
The energy relative to the elements, uncorrected is 1.0458 eV/atom. The value obtained for the total DFT energy (no corrections) is -88.79 eV for the cell shown. Its density of states at the Fermi level is 3.8 states/eV/f.u.


Entry 2:
## TaTe4Ir (SCAN)

Data for TaTe4Ir at its PBEsol-relaxed geometry.

Cell: 3.763 12.422 13.124 Å, 90.00 90.00 90.00°
Atoms (fractional coordinates):
Ta  0.000  0.055  0.005
Ta  0.500  0.945  0.505
Ta  0.000  0.271  0.491
Ta  0.500  0.729  0.991
Te  0.500  0.107  0.151
Te  0.000  0.893  0.651
Te  0.500  0.150  0.608
Te  0.000  0.850  0.108
Te  0.500  0.323  0.345
Te  0.000  0.677  0.845
Te  0.500  0.435  0.895
Te  0.000  0.565  0.395
Te  0.000  0.066  0.391
Te  0.500  0.934  0.891
Te  0.000  0.193  0.851
Te  0.500  0.807  0.351
Te  0.000  0.345  0.095
Te  0.500  0.655  0.595
Te  0.000  0.414  0.640
Te  0.500  0.586  0.140
Ir  0.000  0.537  0.000
Ir  0.500  0.463  0.500
Ir  0.000  0.756  0.491
Ir  0.500  0.244  0.991

Summary:
The energy relative to the elements, uncorrected is -0.4031 eV/atom. For the relative energy among the computed polymorphs, the calculation gives 0.0 kJ/mol of atoms. The value obtained for the total DFT energy (no corrections) is -1156.42 eV for the cell shown. Its density of states at the Fermi level is 1.0 states/eV/f.u.


Entry 3:
## Hf2BiP (SCAN)

Data for Hf2BiP at its PBEsol-relaxed geometry.

Cell: 4.817 4.817 4.817 Å, 60.00 60.00 60.00°
Atoms (fractional coordinates):
P  0.000  0.000  0.000
Hf  0.250  0.250  0.250
Hf  0.750  0.750  0.750
Bi  0.500  0.500  0.500

Summary:
The energy of formation from the pure elements is -0.23 eV/atom. The value obtained for the total DFT energy (no corrections) is -215.25 eV for the cell shown. Its density of states at the Fermi level is 4.4 states/eV/f.u.


Entry 4:
## LiRu2 (SCAN)

Data for LiRu2 at its PBEsol-relaxed geometry.

Cell: 2.663 5.183 6.260 Å, 107.11 90.00 104.89°
Atoms (fractional coordinates):
Li  0.011  0.023  0.010
Li  0.658  0.317  0.348
Ru  0.338  0.676  0.661
Ru  0.374  0.748  0.270
Ru  0.047  0.093  0.624
Ru  0.738  0.477  0.919

Summary:
The energy of formation from the pure elements is 0.18 eV/atom. The value obtained for the total DFT energy (no corrections) is -142.98 eV for the cell shown. Its density of states at the Fermi level is 2.6 states/eV/f.u.


Entry 5:
## BePtI3 (SCAN)

Data for BePtI3 at its PBEsol-relaxed geometry.

Cell: 5.379 5.379 5.379 Å, 90.00 90.00 90.00°
Atoms (fractional coordinates):
I  0.000  0.500  0.000
I  0.000  0.000  0.500
I  0.500  0.000  0.000
Be  0.500  0.500  0.500
Pt  0.000  0.000  0.000

Summary:
The energy relative to the elements, uncorrected is 0.6367 eV/atom. The value obtained for the total DFT energy (no corrections) is -181.59 eV for the cell shown. Its density of states at the Fermi level is 4.0 states/eV/f.u.


Entry 6:
## Tl2HgRh (SCAN)

Data for Tl2HgRh at its PBEsol-relaxed geometry.

Cell: 3.200 5.096 5.096 Å, 90.00 90.00 90.00°
Atoms (fractional coordinates):
Hg  0.500  0.500  0.500
Rh  0.500  0.000  0.000
Tl  0.000  0.000  0.500
Tl  0.000  0.500  0.000

Summary:
The energy of formation from the pure elements is 0.29 eV/atom. For the relative energy among the computed polymorphs, the calculation gives 23.7 kJ/mol of atoms. The value obtained for the total DFT energy (no corrections) is -245.48 eV for the cell shown. Its density of states at the Fermi level is 1.3 states/eV/f.u.


Entry 7:
## FeRu3 (SCAN)

Data for FeRu3 at its PBEsol-relaxed geometry.

Cell: 2.646 4.147 4.557 Å, 90.00 90.00 90.00°
Last column: magnetic moment on the atom in μB.
Atoms (fractional coordinates):
Ru  0.000  0.500  0.324  -0.12
Ru  0.500  0.000  0.503  -0.42
Ru  0.500  0.500  0.842  -0.38
Fe  0.000  0.000  0.998  2.46

Summary:
The energy of formation from the pure elements is 0.09 eV/atom. The value obtained for the total DFT energy (no corrections) is -122.24 eV for the cell shown. Its density of states at the Fermi level is 3.2 states/eV/f.u.


Entry 8:
## Ta5Pt (SCAN)

Data for Ta5Pt at its PBEsol-relaxed geometry.

Cell: 3.361 5.343 6.354 Å, 107.69 90.00 108.33°
Atoms (fractional coordinates):
Pt  0.500  0.000  0.500
Ta  0.168  0.336  0.332
Ta  0.835  0.671  0.166
Ta  0.500  0.000  0.000
Ta  0.165  0.329  0.834
Ta  0.832  0.664  0.668

Summary:
The energy of formation from the pure elements is -0.34 eV/atom. For the relative energy among the computed polymorphs, the calculation gives 0.0 kJ/mol of atoms. The value obtained for the total DFT energy (no corrections) is -405.14 eV for the cell shown. Its density of states at the Fermi level is 3.6 states/eV/f.u.